Compound: SiIr2
Source: OQMD
Functional: PBE-GGA
Structure: optimized geometry

- Spin magnetization: 0.0 μB per formula unit
- E_tot: -8.007 eV per atom
- Symmetry: P4/n (85)
- Calculated volume: 454.0 Å³/cell

a b c (Å): 8.9171 8.9171 5.7094
angles (deg): 90.00 90.00 90.00
Atoms (fractional coordinates):
Ir 0.0000 0.0000 0.0000
Ir 0.5000 0.5000 0.0000
Ir 0.2924 0.0936 0.0593
Ir 0.5936 0.2076 0.0593
Ir 0.4064 0.7924 0.0593
Ir 0.7076 0.9064 0.0593
Ir 0.1141 0.2783 0.3667
Ir 0.7783 0.3859 0.3667
Ir 0.2217 0.6141 0.3667
Ir 0.8859 0.7217 0.3667
Ir 0.0000 0.0000 0.5000
Ir 0.5000 0.5000 0.5000
Ir 0.7217 0.1141 0.6333
Ir 0.3859 0.2217 0.6333
Ir 0.6141 0.7783 0.6333
Ir 0.2783 0.8859 0.6333
Ir 0.9064 0.2924 0.9407
Ir 0.2076 0.4064 0.9407
Ir 0.7924 0.5936 0.9407
Ir 0.0936 0.7076 0.9407
Si 0.0000 0.5000 0.1879
Si 0.8217 0.1248 0.2475
Si 0.3752 0.3217 0.2475
Si 0.6248 0.6783 0.2475
Si 0.1783 0.8752 0.2475
Si 0.1248 0.1783 0.7525
Si 0.6783 0.3752 0.7525
Si 0.3217 0.6248 0.7525
Si 0.8752 0.8217 0.7525
Si 0.5000 0.0000 0.8121

=====

Compound: Si2Ir3
Source: OQMD
Functional: PBE-GGA
Structure: optimized geometry

- Spin magnetization: 0.0 μB per formula unit
- Symmetry: P-3m1 (164)
- Energy relative to the lowest polymorph listed for this composition: 0.000 eV per formula unit
- Calculated volume: 72.4 Å³/cell

a b c (Å): 4.0069 4.0069 5.2056
angles (deg): 90.00 90.00 120.00
Atoms (fractional coordinates):
Ir 0.6667 0.3333 0.1727
Ir 0.0000 0.0000 0.5000
Ir 0.3333 0.6667 0.8273
Si 0.3333 0.6667 0.2939
Si 0.6667 0.3333 0.7061

=====

Compound: Si64Ir
Source: OQMD
Functional: PBE-GGA
Structure: optimized geometry

- Spin magnetization: 0.1 μB per formula unit
- E_tot: -5.449 eV per atom
- Symmetry: R-3m (166)
- Calculated volume: 1317.9 Å³/cell

a b c (Å): 10.9638 10.9638 10.9638
angles (deg): 89.88 89.88 89.88
Atoms (fractional coordinates):
Ir 0.0000 0.0000 0.0000
Si 0.8114 0.5596 0.0611
Si 0.5596 0.8114 0.0611
Si 0.3168 0.0627 0.0627
Si 0.0627 0.3168 0.0627
Si 0.5638 0.3133 0.0636
Si 0.3133 0.5638 0.0636
Si 0.8007 0.0637 0.0637
Si 0.0637 0.8007 0.0637
Si 0.6847 0.6847 0.1841
Si 0.1843 0.1843 0.1843
Si 0.4364 0.4364 0.1879
Si 0.9389 0.4404 0.1886
Si 0.4404 0.9389 0.1886
Si 0.6894 0.1921 0.1921
Si 0.1921 0.6894 0.1921
Si 0.9363 0.9363 0.1993
Si 0.3099 0.3099 0.3099
Si 0.8079 0.8079 0.3106
Si 0.5613 0.5613 0.3123
Si 0.5638 0.0636 0.3133
Si 0.0636 0.5638 0.3133
Si 0.8159 0.3153 0.3153
Si 0.3153 0.8159 0.3153
Si 0.0627 0.0627 0.3168
Si 0.9364 0.6867 0.4362
Si 0.6867 0.9364 0.4362
Si 0.4364 0.1879 0.4364
Si 0.1879 0.4364 0.4364
Si 0.6877 0.4387 0.4387
Si 0.4387 0.6877 0.4387
Si 0.9389 0.1886 0.4404
Si 0.1886 0.9389 0.4404
Si 0.8114 0.0611 0.5596
Si 0.0611 0.8114 0.5596
Si 0.5613 0.3123 0.5613
Si 0.3123 0.5613 0.5613
Si 0.8121 0.5636 0.5636
Si 0.5636 0.8121 0.5636
Si 0.3133 0.0636 0.5638
Si 0.0636 0.3133 0.5638
Si 0.9373 0.9373 0.6832
Si 0.6847 0.1841 0.6847
Si 0.1841 0.6847 0.6847
Si 0.9364 0.4362 0.6867
Si 0.4362 0.9364 0.6867
Si 0.4387 0.4387 0.6877
Si 0.1921 0.1921 0.6894
Si 0.6901 0.6901 0.6901
Si 0.0637 0.0637 0.8007
Si 0.8079 0.3106 0.8079
Si 0.3106 0.8079 0.8079
Si 0.5596 0.0611 0.8114
Si 0.0611 0.5596 0.8114
Si 0.5636 0.5636 0.8121
Si 0.8157 0.8157 0.8157
Si 0.3153 0.3153 0.8159
Si 0.9363 0.1993 0.9363
Si 0.1993 0.9363 0.9363
Si 0.6867 0.4362 0.9364
Si 0.4362 0.6867 0.9364
Si 0.9373 0.6832 0.9373
Si 0.6832 0.9373 0.9373
Si 0.4404 0.1886 0.9389
Si 0.1886 0.4404 0.9389

=====

Compound: Si2Ir
Source: OQMD
Functional: PBE-GGA
Structure: optimized geometry

- Spin magnetization: 0.0 μB per formula unit
- E_tot: -6.232 eV per atom
- Symmetry: Fd-3m (227)
- Calculated volume: 271.7 Å³/cell

a b c (Å): 7.2700 7.2700 7.2700
angles (deg): 60.00 60.00 60.00
Atoms (fractional coordinates):
Ir 0.2500 0.2500 0.2500
Ir 0.5000 0.5000 0.5000
Si 0.8750 0.3750 0.3750
Si 0.3750 0.3750 0.3750
Si 0.3750 0.8750 0.3750
Si 0.3750 0.3750 0.8750

=====

Compound: Si2Ir3
Source: OQMD
Functional: PBE-GGA
Structure: optimized geometry

- Spin magnetization: 0.0 μB per formula unit
- Symmetry: P4/mbm (127)
- Energy relative to the lowest polymorph listed for this composition: 2.211 eV per formula unit
- Calculated volume: 140.5 Å³/cell

a b c (Å): 6.4296 6.4296 3.3977
angles (deg): 90.00 90.00 90.00
Atoms (fractional coordinates):
Ir 0.0000 0.0000 0.0000
Ir 0.5000 0.5000 0.0000
Ir 0.3441 0.1559 0.5000
Ir 0.8441 0.3441 0.5000
Ir 0.1559 0.6559 0.5000
Ir 0.6559 0.8441 0.5000
Si 0.6420 0.1420 0.0000
Si 0.1420 0.3580 0.0000
Si 0.8580 0.6420 0.0000
Si 0.3580 0.8580 0.0000

=====

Compound: Si4Ir3
Source: OQMD
Functional: PBE-GGA
Structure: optimized geometry

- Spin magnetization: 0.0 μB per formula unit
- E_tot: -7.558 eV per atom
- Symmetry: Pnma (62)
- Calculated volume: 414.8 Å³/cell

a b c (Å): 19.0256 3.7358 5.8364
angles (deg): 90.00 90.00 90.00
Atoms (fractional coordinates):
Ir 0.1762 0.2500 0.0016
Ir 0.3263 0.2500 0.1092
Ir 0.0314 0.2500 0.1959
Ir 0.5314 0.2500 0.3041
Ir 0.8263 0.2500 0.3908
Ir 0.6762 0.2500 0.4983
Ir 0.3238 0.7500 0.5016
Ir 0.1737 0.7500 0.6092
Ir 0.4686 0.7500 0.6959
Ir 0.9686 0.7500 0.8041
Ir 0.6737 0.7500 0.8908
Ir 0.8238 0.7500 0.9984
Si 0.5497 0.7500 0.0267
Si 0.9092 0.2500 0.0735
Si 0.6438 0.2500 0.1094
Si 0.2303 0.7500 0.2167
Si 0.7303 0.7500 0.2833
Si 0.1438 0.2500 0.3906
Si 0.4092 0.2500 0.4265
Si 0.0497 0.7500 0.4733
Si 0.9503 0.2500 0.5267
Si 0.5908 0.7500 0.5735
Si 0.8562 0.7500 0.6094
Si 0.2697 0.2500 0.7167
Si 0.7697 0.2500 0.7833
Si 0.3562 0.7500 0.8906
Si 0.0908 0.7500 0.9265
Si 0.4503 0.2500 0.9733

=====

Compound: Si5Ir4
Source: OQMD
Functional: PBE-GGA
Structure: optimized geometry

- Spin magnetization: 0.0 μB per formula unit
- E_tot: -7.621 eV per atom
- Symmetry: P2_1/m (11)
- Calculated volume: 266.0 Å³/cell

a b c (Å): 5.9417 3.6528 12.4508
angles (deg): 90.00 100.14 90.00
Atoms (fractional coordinates):
Ir 0.2171 0.7500 0.0490
Ir 0.7081 0.2500 0.2697
Ir 0.1050 0.7500 0.2732
Ir 0.7002 0.2500 0.4994
Ir 0.2998 0.7500 0.5006
Ir 0.8950 0.2500 0.7268
Ir 0.2919 0.7500 0.7303
Ir 0.7829 0.2500 0.9510
Si 0.5059 0.2500 0.0781
Si 0.9735 0.2500 0.1413
Si 0.4700 0.7500 0.2250
Si 0.3556 0.2500 0.3632
Si 0.8902 0.7500 0.4249
Si 0.1098 0.2500 0.5751
Si 0.6444 0.7500 0.6368
Si 0.5300 0.2500 0.7750
Si 0.0265 0.7500 0.8587
Si 0.4941 0.7500 0.9219

=====

Compound: Si3Ir
Source: OQMD
Functional: PBE-GGA
Structure: optimized geometry

- Spin magnetization: 0.0 μB per formula unit
- E_tot: -6.209 eV per atom
- Symmetry: P6_3mc (186)
- Calculated volume: 127.3 Å³/cell

a b c (Å): 4.7796 4.7796 6.4334
angles (deg): 90.00 90.00 120.00
Atoms (fractional coordinates):
Ir 0.3333 0.6667 0.2562
Ir 0.6667 0.3333 0.7562
Si 0.3338 0.1669 0.0809
Si 0.8331 0.1669 0.0809
Si 0.8331 0.6662 0.0809
Si 0.1669 0.3338 0.5809
Si 0.1669 0.8331 0.5809
Si 0.6662 0.8331 0.5809

=====

Compound: Si64Ir
Source: OQMD
Functional: PBE-GGA
Structure: optimized geometry

- Spin magnetization: 0.9 μB per formula unit
- E_tot: -5.449 eV per atom
- Symmetry: P-43m (215)
- Calculated volume: 1309.5 Å³/cell

a b c (Å): 10.9406 10.9406 10.9406
angles (deg): 90.00 90.00 90.00
Last column: magnetic moment on the atom in μB.
Atoms (fractional coordinates):
Ir 0.0000 0.0000 0.0000  0.28
Si 0.2488 0.0000 0.0000  0.00
Si 0.7512 0.0000 0.0000  0.00
Si 0.0000 0.2488 0.0000  0.01
Si 0.5000 0.2493 0.0000  0.00
Si 0.2493 0.5000 0.0000  0.00
Si 0.7507 0.5000 0.0000  0.00
Si 0.5000 0.7507 0.0000  0.00
Si 0.0000 0.7512 0.0000  0.01
Si 0.6241 0.3759 0.1244  0.00
Si 0.3759 0.6241 0.1244  0.00
Si 0.3738 0.1250 0.1250  0.00
Si 0.1250 0.3738 0.1250  0.01
Si 0.8750 0.6262 0.1250  0.01
Si 0.6262 0.8750 0.1250  0.00
Si 0.8691 0.1309 0.1309  0.03
Si 0.1309 0.8691 0.1309  0.02
Si 0.0000 0.0000 0.2488  0.00
Si 0.5000 0.0000 0.2493  0.00
Si 0.0000 0.5000 0.2493  0.01
Si 0.5000 0.5000 0.2502  0.00
Si 0.2504 0.2504 0.2504  0.00
Si 0.7496 0.7496 0.2504  0.00
Si 0.7463 0.2537 0.2537  0.00
Si 0.2537 0.7463 0.2537  0.00
Si 0.1250 0.1250 0.3738  0.00
Si 0.8750 0.8750 0.3738  0.01
Si 0.3751 0.3751 0.3751  0.00
Si 0.6249 0.6249 0.3751  0.00
Si 0.6241 0.1244 0.3759  0.00
Si 0.8756 0.3759 0.3759  0.00
Si 0.1244 0.6241 0.3759  0.00
Si 0.3759 0.8756 0.3759  0.00
Si 0.2493 0.0000 0.5000  0.00
Si 0.7507 0.0000 0.5000  0.00
Si 0.0000 0.2493 0.5000  0.00
Si 0.5000 0.2502 0.5000  0.00
Si 0.2502 0.5000 0.5000  0.00
Si 0.7498 0.5000 0.5000  0.00
Si 0.5000 0.7498 0.5000  0.00
Si 0.0000 0.7507 0.5000  0.00
Si 0.3759 0.1244 0.6241  0.00
Si 0.1244 0.3759 0.6241  0.00
Si 0.8756 0.6241 0.6241  0.00
Si 0.6241 0.8756 0.6241  0.00
Si 0.6249 0.3751 0.6249  0.00
Si 0.3751 0.6249 0.6249  0.00
Si 0.8750 0.1250 0.6262  0.00
Si 0.1250 0.8750 0.6262  0.00
Si 0.2537 0.2537 0.7463  0.00
Si 0.7463 0.7463 0.7463  0.00
Si 0.7496 0.2504 0.7496  0.00
Si 0.2504 0.7496 0.7496  0.00
Si 0.5000 0.5000 0.7498  0.00
Si 0.5000 0.0000 0.7507  0.00
Si 0.0000 0.5000 0.7507  0.00
Si 0.0000 0.0000 0.7512  0.00
Si 0.1309 0.1309 0.8691  0.03
Si 0.8691 0.8691 0.8691  0.03
Si 0.6262 0.1250 0.8750  0.00
Si 0.8750 0.3738 0.8750  0.01
Si 0.1250 0.6262 0.8750  0.01
Si 0.3738 0.8750 0.8750  0.00
Si 0.3759 0.3759 0.8756  0.00
Si 0.6241 0.6241 0.8756  0.00

=====

Compound: SiIr2
Source: OQMD
Functional: PBE-GGA
Structure: optimized geometry

- Spin magnetization: 0.0 μB per formula unit
- E_tot: -7.084 eV per atom
- Symmetry: Fd-3m (227)
- Calculated volume: 98.4 Å³/cell

a b c (Å): 5.1821 5.1821 5.1821
angles (deg): 60.00 60.00 60.00
Atoms (fractional coordinates):
Si 0.0000 0.0000 0.0000
Si 0.2500 0.2500 0.2500
Ir 0.6250 0.6250 0.1250
Ir 0.6250 0.1250 0.6250
Ir 0.1250 0.6250 0.6250
Ir 0.6250 0.6250 0.6250

=====

Compound: SmSi2Ir2
Source: OQMD
Functional: PBE-GGA
Structure: optimized geometry

- Spin magnetization: 0.0 μB per formula unit
- E_tot: -7.546 eV per atom
- Symmetry: I4/mmm (139)
- Calculated volume: 88.6 Å³/cell

a b c (Å): 5.8129 5.8129 5.8129
angles (deg): 137.51 137.51 61.66
Atoms (fractional coordinates):
Ir 0.3915 0.3915 0.0000
Ir 0.6546 0.6546 0.0000
Si 0.7729 0.2729 0.5000
Si 0.2729 0.7729 0.5000
Sm 0.0231 0.0231 0.0000

=====

Compound: SmSiIr
Source: OQMD
Functional: PBE-GGA
Structure: optimized geometry

- Spin magnetization: 0.0 μB per formula unit
- E_tot: -5.945 eV per atom
- Symmetry: F-43m (216)
- Calculated volume: 71.2 Å³/cell

a b c (Å): 4.6513 4.6513 4.6513
angles (deg): 60.00 60.00 60.00
Atoms (fractional coordinates):
Ir 0.2500 0.2500 0.2500
Si 0.7500 0.7500 0.7500
Sm 0.0000 0.0000 0.0000